No. 1
VASP calculation (GGA-PBE) on Nb5Te12Ir after structural relaxation.

Structure (extended XYZ):
```
18
Lattice="3.131 -5.593 0.000 3.131 5.593 0.000 -1.775 0.000 14.539" Properties=species:S:1:pos:R:3 pbc="T T T"
Nb 0.000 0.000 0.000
Nb 2.244 4.095 7.269
Nb 3.131 1.865 0.000
Nb 3.131 -1.865 0.000
Nb 2.244 -4.095 7.269
Te 2.108 3.728 1.856
Te 1.286 1.925 5.583
Te 0.335 0.000 9.262
Te 2.379 3.728 12.683
Te 2.102 0.000 1.849
Te 1.286 -1.925 5.583
Te 3.202 1.925 8.956
Te 2.386 0.000 12.690
Te 2.108 -3.728 1.856
Te 4.152 0.000 5.277
Te 3.202 -1.925 8.956
Te 2.379 -3.728 12.683
Ir 2.244 0.000 7.269
```

Total magnetization: 0.00 μB per cell
Crystal system: monoclinic
Uncorrected energy: -103.7 eV for the cell shown
Uncorrected formation energy: -0.3780 eV per atom
Density: 7.13 Mg/m³

---

No. 2
VASP calculation (GGA-PBE) on Th2CdS after structural relaxation.

Structure (extended XYZ):
```
4
Lattice="1.807 1.044 10.589 -1.807 1.044 10.589 0.000 -2.087 10.589" Properties=species:S:1:pos:R:3 pbc="T T T"
Th 0.000 0.000 3.352
Th 0.000 0.000 28.416
Cd 0.000 0.000 0.000
S 0.000 0.000 15.884
```

Total magnetization: 0.00 μB per cell
Crystal system: trigonal
Uncorrected energy: -21.7 eV for the cell shown
Uncorrected formation energy: -0.4667 eV per atom
Density: 8.43 Mg/m³

---

No. 3
VASP calculation (GGA-PBE) on BRhAu2 after structural relaxation.

Structure (extended XYZ):
```
8
Lattice="-3.779 3.779 2.194 3.779 -3.779 2.194 3.779 3.779 -2.194" Properties=species:S:1:pos:R:3 pbc="T T T"
B 0.000 0.000 0.000
B 0.000 3.779 1.097
Rh 3.779 0.000 1.097
Rh 0.000 0.000 2.194
Au 5.669 1.062 -0.548
Au 1.062 1.890 0.548
Au -1.890 2.718 1.645
Au 2.718 1.890 2.742
```

Total magnetization: 0.00 μB per cell
Crystal system: tetragonal
Uncorrected energy: -38.0 eV for the cell shown
Calculated formation energy: 0.40 eV per atom
Density: 13.45 Mg/m³

---

No. 4
VASP calculation (GGA-PBE) on KCaN2F after structural relaxation.

Structure (extended XYZ):
```
5
Lattice="4.854 0.000 0.000 0.000 4.854 0.000 0.000 0.000 4.566" Properties=species:S:1:pos:R:3 pbc="T T T"
K 0.000 0.000 0.000
Ca 2.427 2.427 2.283
N 0.000 2.427 0.000
N 2.427 0.000 0.000
F 0.000 0.000 2.283
```

Total magnetization: 4.00 μB per cell
Crystal system: tetragonal
Uncorrected energy: -18.6 eV for the cell shown
Uncorrected formation energy: 0.5984 eV per atom
Density: 1.95 Mg/m³

---

No. 5
VASP calculation (GGA-PBE) on TmZrSn after structural relaxation.

Structure (extended XYZ):
```
6
Lattice="-2.151 2.151 8.232 2.151 -2.151 8.232 2.151 2.151 -8.232" Properties=species:S:1:pos:R:3 pbc="T T T"
Tm 0.000 0.000 2.860
Tm 0.000 0.000 13.604
Zr 2.151 0.000 0.000
Zr 0.000 2.151 0.000
Sn 0.000 0.000 5.999
Sn 0.000 0.000 10.464
```

Total magnetization: 0.00 μB per cell
Crystal system: tetragonal
Uncorrected energy: -37.4 eV for the cell shown
Calculated formation energy: -0.55 eV per atom
Density: 8.26 Mg/m³

---

No. 6
VASP calculation (GGA-PBE) on LaF after structural relaxation.

Structure (extended XYZ):
```
16
Lattice="10.260 0.000 0.000 0.000 10.260 0.000 0.000 0.000 3.982" Properties=species:S:1:pos:R:3 pbc="T T T"
La 0.525 3.133 0.000
La 2.485 5.928 1.991
La 3.133 9.735 0.000
La 4.332 2.485 1.991
La 5.928 7.775 1.991
La 7.127 0.525 0.000
La 7.775 4.332 1.991
La 9.735 7.127 0.000
F 1.831 7.563 0.000
F 2.065 3.532 1.991
F 2.697 1.831 0.000
F 3.532 8.195 1.991
F 6.728 2.065 1.991
F 7.563 8.429 0.000
F 8.195 6.728 1.991
F 8.429 2.697 0.000
```

Total magnetization: 0.03 μB per cell
Crystal system: tetragonal
Uncorrected energy: -94.1 eV for the cell shown
Uncorrected formation energy: -2.4820 eV per atom
Density: 5.00 Mg/m³

---

No. 7
VASP calculation (GGA-PBE) on TmAg2AsO4 after structural relaxation.

Structure (extended XYZ):
```
8
Lattice="-2.935 2.935 4.334 2.935 -2.935 4.334 2.935 2.935 -4.334" Properties=species:S:1:pos:R:3 pbc="T T T"
Tm 0.000 0.000 0.000
Ag 2.935 0.000 2.167
Ag 0.000 0.000 4.334
As 0.000 2.935 2.167
O 0.582 1.665 1.169
O -1.270 2.353 3.165
O -0.582 4.204 1.169
O 1.270 3.517 3.165
```

Total magnetization: 0.00 μB per cell
Crystal system: tetragonal
Uncorrected energy: -44.5 eV for the cell shown
Uncorrected formation energy: -1.2275 eV per atom
Density: 5.82 Mg/m³

---

No. 8
VASP calculation (GGA-PBE) on CeThTlHg after structural relaxation.

Structure (extended XYZ):
```
4
Lattice="0.000 3.865 3.865 3.865 0.000 3.865 3.865 3.865 0.000" Properties=species:S:1:pos:R:3 pbc="T T T"
Ce 0.000 0.000 0.000
Th 3.865 3.865 3.865
Tl 1.932 1.932 1.932
Hg 5.797 5.797 5.797
```

Total magnetization: 1.10 μB per cell
Crystal system: cubic
Uncorrected energy: -16.7 eV for the cell shown
Calculated formation energy: -0.17 eV per atom
Density: 11.18 Mg/m³

---

No. 9
VASP calculation (GGA-PBE) on AcCe2NpO8 after structural relaxation.

Structure (extended XYZ):
```
12
Lattice="5.540 0.000 0.000 0.000 4.021 0.000 -0.061 0.000 7.667" Properties=species:S:1:pos:R:3 pbc="T T T"
Ac 0.000 0.000 0.000
Ce 2.734 2.011 1.955
Ce 2.745 2.011 5.712
Np -0.031 0.000 3.834
O 1.265 0.000 5.487
O 1.275 2.011 3.795
O 1.454 0.000 2.102
O 1.441 2.011 7.633
O 4.037 2.011 0.034
O 4.025 0.000 5.566
O 4.214 0.000 2.180
O 4.203 2.011 3.872
```

Total magnetization: 2.12 μB per cell
Crystal system: monoclinic
Uncorrected energy: -108.1 eV for the cell shown
Uncorrected formation energy: -3.2938 eV per atom
Density: 8.48 Mg/m³

---

No. 10
VASP calculation (GGA-PBE) on V5SiGe2 after structural relaxation.

Structure (extended XYZ):
```
16
Lattice="-3.137 3.137 5.607 3.137 -3.137 5.607 3.137 3.137 -5.607" Properties=species:S:1:pos:R:3 pbc="T T T"
V 0.000 0.000 0.000
V 4.160 1.023 -1.765
V 1.023 2.113 -1.765
V 4.160 1.023 1.765
V 1.023 2.113 1.765
V 0.000 0.000 5.607
V 2.113 1.023 3.842
V -1.023 2.113 3.842
V 2.113 1.023 7.372
V -1.023 2.113 7.372
Si 0.000 0.000 2.803
Si 0.000 0.000 8.410
Ge 2.269 0.868 0.000
Ge 2.269 -0.868 5.607
Ge 0.868 4.004 0.000
Ge 0.868 2.269 5.607
```

Total magnetization: 0.00 μB per cell
Crystal system: tetragonal
Uncorrected energy: -126.4 eV for the cell shown
Uncorrected formation energy: -0.3714 eV per atom
Density: 6.44 Mg/m³

---

No. 11
VASP calculation (GGA-PBE) on NdMg8Pt4 after structural relaxation.

Structure (extended XYZ):
```
13
Lattice="-4.689 4.689 2.825 4.689 -4.689 2.825 4.689 4.689 -2.825" Properties=species:S:1:pos:R:3 pbc="T T T"
Nd 0.000 0.000 0.000
Mg 3.154 0.000 0.000
Mg 6.225 0.000 0.000
Mg 4.689 2.620 0.000
Mg 0.000 3.154 0.000
Mg 2.620 4.689 0.000
Mg 2.069 0.000 2.825
Mg 0.000 6.225 0.000
Mg 0.000 2.069 2.825
Pt 2.345 2.345 -1.412
Pt 2.345 -2.345 1.412
Pt -2.345 2.345 1.412
Pt 2.345 2.345 1.412
```

Total magnetization: 0.00 μB per cell
Crystal system: tetragonal
Uncorrected energy: -50.3 eV for the cell shown
Calculated formation energy: -0.66 eV per atom
Density: 7.48 Mg/m³

---

No. 12
VASP calculation (GGA-PBE) on Cs2PtPbN after structural relaxation.

Structure (extended XYZ):
```
5
Lattice="7.001 0.000 0.000 0.000 7.001 0.000 0.000 0.000 3.719" Properties=species:S:1:pos:R:3 pbc="T T T"
Cs 0.000 3.500 0.000
Cs 3.500 0.000 0.000
Pt 0.000 0.000 1.860
Pb 3.500 3.500 1.860
N 0.000 0.000 0.000
```

Total magnetization: 1.35 μB per cell
Crystal system: tetragonal
Uncorrected energy: -19.6 eV for the cell shown
Uncorrected formation energy: 0.0406 eV per atom
Density: 6.21 Mg/m³